P) Material: CrCoMo2
Method: DFT, PBE-GGA
State: optimized geometry

Geometry as CIF:
```
data_CrCoMo2
_space_group_name_H-M_alt 'F -4 3 m'
_space_group_IT_number 216
_space_group_name_Hall 'F -4 2 3'
_cell_length_a 6.0544
_cell_length_b 6.0544
_cell_length_c 6.0544
_cell_angle_alpha 90.00
_cell_angle_beta 90.00
_cell_angle_gamma 90.00
loop_
_atom_site_label
_atom_site_fract_x
_atom_site_fract_y
_atom_site_fract_z
Cr1 0.0000 0.0000 0.0000
Co1 0.2500 0.2500 0.7500
Mo1 0.0000 0.0000 0.5000
Mo2 0.2500 0.2500 0.2500
```



Q) Material: CrCoMo2
Method: DFT, PBE-GGA
State: optimized geometry

Geometry as CIF:
```
data_CrCoMo2
_space_group_name_H-M_alt 'P m m m'
_space_group_IT_number 47
_space_group_name_Hall '-P 2 2'
_cell_length_a 3.1200
_cell_length_b 4.1924
_cell_length_c 4.2360
_cell_angle_alpha 90.00
_cell_angle_beta 90.00
_cell_angle_gamma 90.00
loop_
_atom_site_label
_atom_site_fract_x
_atom_site_fract_y
_atom_site_fract_z
Cr1 0.0000 0.0000 0.0000
Co1 0.5000 0.0000 0.5000
Mo1 0.0000 0.5000 0.5000
Mo2 0.5000 0.5000 0.0000
```



R) Material: CrCoMo2
Method: DFT, PBE-GGA
State: optimized geometry

Geometry as CIF:
```
data_CrCoMo2
_space_group_name_H-M_alt 'R -3 m'
_space_group_IT_number 166
_space_group_name_Hall '-R 3 2"'
_cell_length_a 2.6624
_cell_length_b 2.6624
_cell_length_c 27.0778
_cell_angle_alpha 90.00
_cell_angle_beta 90.00
_cell_angle_gamma 120.00
loop_
_atom_site_label
_atom_site_fract_x
_atom_site_fract_y
_atom_site_fract_z
Cr1 0.0000 0.0000 0.0000
Co1 0.0000 0.0000 0.5000
Mo1 0.0000 0.0000 0.2469
```



S) Material: CrCoMo2
Method: DFT, PBE-GGA
State: optimized geometry

Geometry as CIF:
```
data_CrCoMo2
_space_group_name_H-M_alt 'C 1 2/m 1'
_space_group_IT_number 12
_space_group_name_Hall '-C 2y'
_cell_length_a 5.2767
_cell_length_b 8.3501
_cell_length_c 2.6224
_cell_angle_alpha 90.00
_cell_angle_beta 107.92
_cell_angle_gamma 90.00
loop_
_atom_site_label
_atom_site_fract_x
_atom_site_fract_y
_atom_site_fract_z
Cr1 0.0000 0.0000 0.0000
Co1 0.0000 0.5000 0.0000
Mo1 0.2500 0.2500 0.5000
```



Which is most stable, and by how much? Q), by 17 meV per atom.



P) Material: CrCoMo2
Method: DFT, PBE-GGA
State: optimized geometry

Geometry as CIF:
```
data_CrCoMo2
_space_group_name_H-M_alt 'I m m 2'
_space_group_IT_number 44
_space_group_name_Hall 'I 2 -2'
_cell_length_a 3.0883
_cell_length_b 4.2335
_cell_length_c 8.3835
_cell_angle_alpha 90.00
_cell_angle_beta 90.00
_cell_angle_gamma 90.00
loop_
_atom_site_label
_atom_site_fract_x
_atom_site_fract_y
_atom_site_fract_z
Cr1 0.0000 0.0000 0.0000
Co1 0.0000 0.5000 0.2486
Mo1 0.0000 0.0000 0.4876
Mo2 0.0000 0.5000 0.7346
```



Q) Material: CrCoMo2
Method: DFT, PBE-GGA
State: optimized geometry

Geometry as CIF:
```
data_CrCoMo2
_space_group_name_H-M_alt 'C m m m'
_space_group_IT_number 65
_space_group_name_Hall '-C 2 2'
_cell_length_a 3.1711
_cell_length_b 4.2080
_cell_length_c 8.1244
_cell_angle_alpha 90.00
_cell_angle_beta 90.00
_cell_angle_gamma 90.00
loop_
_atom_site_label
_atom_site_fract_x
_atom_site_fract_y
_atom_site_fract_z
Cr1 0.0000 0.0000 0.0000
Co1 0.0000 0.0000 0.5000
Mo1 0.0000 0.5000 0.2584
```



Which is most stable, and by how much? Q), by 45 meV per atom.



P) Material: CrCo4Mo
Method: DFT, PBE-GGA
State: optimized geometry

Geometry as CIF:
```
data_CrCo4Mo
_space_group_name_H-M_alt 'P 6/m m m'
_space_group_IT_number 191
_space_group_name_Hall '-P 6 2'
_cell_length_a 4.0275
_cell_length_b 4.0275
_cell_length_c 5.0131
_cell_angle_alpha 90.00
_cell_angle_beta 90.00
_cell_angle_gamma 120.00
loop_
_atom_site_label
_atom_site_fract_x
_atom_site_fract_y
_atom_site_fract_z
Cr1 0.0000 0.0000 0.0000
Co1 0.3333 0.6667 0.2408
Mo1 0.0000 0.0000 0.5000
```



Q) Material: CrCo4Mo
Method: DFT, PBE-GGA
State: optimized geometry

Geometry as CIF:
```
data_CrCo4Mo
_space_group_name_H-M_alt 'C 1 2/m 1'
_space_group_IT_number 12
_space_group_name_Hall '-C 2y'
_cell_length_a 8.0280
_cell_length_b 3.5748
_cell_length_c 5.0878
_cell_angle_alpha 90.00
_cell_angle_beta 108.45
_cell_angle_gamma 90.00
loop_
_atom_site_label
_atom_site_fract_x
_atom_site_fract_y
_atom_site_fract_z
Cr1 0.0000 0.0000 0.0000
Co1 0.1664 0.5000 0.3244
Co2 0.1735 0.5000 0.8455
Mo1 0.0000 0.0000 0.5000
```



Which is most stable, and by how much? Q), by 63 meV per atom.



P) Material: CrCo2N3
Method: DFT, PBE-GGA
State: optimized geometry

Geometry as CIF:
```
data_CrCo2N3
_space_group_name_H-M_alt 'C m c 21'
_space_group_IT_number 36
_space_group_name_Hall 'C 2c -2'
_cell_length_a 8.8637
_cell_length_b 5.1303
_cell_length_c 5.1344
_cell_angle_alpha 90.00
_cell_angle_beta 90.00
_cell_angle_gamma 90.00
loop_
_atom_site_label
_atom_site_fract_x
_atom_site_fract_y
_atom_site_fract_z
Cr1 0.0000 0.1625 0.0000
Co1 0.1568 0.3256 0.4476
N1 0.0000 0.1701 0.6370
N2 0.1720 0.3373 0.0819
```



Q) Material: CrCo2N3
Method: DFT, PBE-GGA
State: optimized geometry

Geometry as CIF:
```
data_CrCo2N3
_space_group_name_H-M_alt 'C m c e'
_space_group_IT_number 64
_space_group_name_Hall '-C 2ac 2'
_cell_length_a 5.9217
_cell_length_b 8.9810
_cell_length_c 9.4939
_cell_angle_alpha 90.00
_cell_angle_beta 90.00
_cell_angle_gamma 90.00
loop_
_atom_site_label
_atom_site_fract_x
_atom_site_fract_y
_atom_site_fract_z
Cr1 0.0000 0.1905 0.1491
Co1 0.0000 0.0063 0.3747
Co2 0.0000 0.1973 0.8689
N1 0.0000 0.0000 0.1714
N2 0.0000 0.1573 0.5047
N3 0.2500 0.2456 0.2500
```



Which is most stable, and by how much? P), by 284 meV per atom.



P) Material: CrCoN
Method: DFT, PBE-GGA
State: optimized geometry

Geometry as CIF:
```
data_CrCoN
_space_group_name_H-M_alt 'I 4 m m'
_space_group_IT_number 107
_space_group_name_Hall 'I 4 -2'
_cell_length_a 3.1818
_cell_length_b 3.1818
_cell_length_c 5.9488
_cell_angle_alpha 90.00
_cell_angle_beta 90.00
_cell_angle_gamma 90.00
loop_
_atom_site_label
_atom_site_fract_x
_atom_site_fract_y
_atom_site_fract_z
Cr1 0.0000 0.0000 0.0000
Co1 0.0000 0.0000 0.3662
N1 0.0000 0.0000 0.6835
```



Q) Material: CrCoN
Method: DFT, PBE-GGA
State: optimized geometry

Geometry as CIF:
```
data_CrCoN
_space_group_name_H-M_alt 'P 4/n m m'
_space_group_IT_number 129
_cell_length_a 2.7349
_cell_length_b 2.7349
_cell_length_c 8.4672
_cell_angle_alpha 90.00
_cell_angle_beta 90.00
_cell_angle_gamma 90.00
loop_
_space_group_symop_operation_xyz
'x,y,z'
'-x,-y,-z'
'-y+1/2,x,z'
'y+1/2,-x,-z'
'-x+1/2,-y+1/2,z'
'x+1/2,y+1/2,-z'
'y,-x+1/2,z'
'-y,x+1/2,-z'
'x+1/2,-y,-z'
'-x+1/2,y,z'
'-y,-x,-z'
'y,x,z'
'-x,y+1/2,-z'
'x,-y+1/2,z'
'y+1/2,x+1/2,-z'
'-y+1/2,-x+1/2,z'
loop_
_atom_site_label
_atom_site_fract_x
_atom_site_fract_y
_atom_site_fract_z
Cr1 0.2500 0.2500 0.1073
Co1 0.2500 0.2500 0.4235
N1 0.2500 0.2500 0.8637
```



Which is most stable, and by how much? Q), by 591 meV per atom.



P) Material: CrCoSN2
Method: DFT, PBE-GGA
State: optimized geometry

Geometry as CIF:
```
data_CrCoSN2
_space_group_name_H-M_alt 'P 4/m m m'
_space_group_IT_number 123
_space_group_name_Hall '-P 4 2'
_cell_length_a 3.5815
_cell_length_b 3.5815
_cell_length_c 5.0328
_cell_angle_alpha 90.00
_cell_angle_beta 90.00
_cell_angle_gamma 90.00
loop_
_atom_site_label
_atom_site_fract_x
_atom_site_fract_y
_atom_site_fract_z
Cr1 0.0000 0.0000 0.0000
Co1 0.5000 0.5000 0.5000
S1 0.0000 0.0000 0.5000
N1 0.0000 0.5000 0.0000
```



Q) Material: CrCoSN2
Method: DFT, PBE-GGA
State: optimized geometry

Geometry as CIF:
```
data_CrCoSN2
_space_group_name_H-M_alt 'P 4/m m m'
_space_group_IT_number 123
_space_group_name_Hall '-P 4 2'
_cell_length_a 3.6023
_cell_length_b 3.6023
_cell_length_c 4.8205
_cell_angle_alpha 90.00
_cell_angle_beta 90.00
_cell_angle_gamma 90.00
loop_
_atom_site_label
_atom_site_fract_x
_atom_site_fract_y
_atom_site_fract_z
Cr1 0.0000 0.0000 0.0000
Co1 0.5000 0.5000 0.5000
S1 0.5000 0.5000 0.0000
N1 0.0000 0.5000 0.5000
```



Which is most stable, and by how much? P), by 214 meV per atom.



P) Material: Cr2CoSbN
Method: DFT, PBE-GGA
State: optimized geometry

Geometry as CIF:
```
data_Cr2CoSbN
_space_group_name_H-M_alt 'P 4/m m m'
_space_group_IT_number 123
_space_group_name_Hall '-P 4 2'
_cell_length_a 5.1279
_cell_length_b 5.1279
_cell_length_c 4.1281
_cell_angle_alpha 90.00
_cell_angle_beta 90.00
_cell_angle_gamma 90.00
loop_
_atom_site_label
_atom_site_fract_x
_atom_site_fract_y
_atom_site_fract_z
Cr1 0.0000 0.5000 0.0000
Co1 0.0000 0.0000 0.5000
Sb1 0.5000 0.5000 0.0000
N1 0.5000 0.5000 0.5000
```



Q) Material: Cr2CoSbN
Method: DFT, PBE-GGA
State: optimized geometry

Geometry as CIF:
```
data_Cr2CoSbN
_space_group_name_H-M_alt 'P 4/m m m'
_space_group_IT_number 123
_space_group_name_Hall '-P 4 2'
_cell_length_a 3.9086
_cell_length_b 3.9086
_cell_length_c 3.9407
_cell_angle_alpha 90.00
_cell_angle_beta 90.00
_cell_angle_gamma 90.00
loop_
_atom_site_label
_atom_site_fract_x
_atom_site_fract_y
_atom_site_fract_z
Cr1 0.0000 0.5000 0.0000
Co1 0.0000 0.0000 0.5000
Sb1 0.5000 0.5000 0.5000
N1 0.0000 0.0000 0.0000
```



Which is most stable, and by how much? Q), by 1976 meV per atom.



P) Material: CrCo2SbN
Method: DFT, PBE-GGA
State: optimized geometry

Geometry as CIF:
```
data_CrCo2SbN
_space_group_name_H-M_alt 'P 4/m m m'
_space_group_IT_number 123
_space_group_name_Hall '-P 4 2'
_cell_length_a 3.8912
_cell_length_b 3.8912
_cell_length_c 3.8566
_cell_angle_alpha 90.00
_cell_angle_beta 90.00
_cell_angle_gamma 90.00
loop_
_atom_site_label
_atom_site_fract_x
_atom_site_fract_y
_atom_site_fract_z
Cr1 0.0000 0.0000 0.0000
Co1 0.0000 0.5000 0.5000
Sb1 0.5000 0.5000 0.0000
N1 0.0000 0.0000 0.5000
```



Q) Material: CrCo2SbN
Method: DFT, PBE-GGA
State: optimized geometry

Geometry as CIF:
```
data_CrCo2SbN
_space_group_name_H-M_alt 'P 4/m m m'
_space_group_IT_number 123
_space_group_name_Hall '-P 4 2'
_cell_length_a 4.6850
_cell_length_b 4.6850
_cell_length_c 4.9293
_cell_angle_alpha 90.00
_cell_angle_beta 90.00
_cell_angle_gamma 90.00
loop_
_atom_site_label
_atom_site_fract_x
_atom_site_fract_y
_atom_site_fract_z
Cr1 0.0000 0.0000 0.0000
Co1 0.0000 0.5000 0.5000
Sb1 0.0000 0.0000 0.5000
N1 0.5000 0.5000 0.0000
```



Which is most stable, and by how much? P), by 2498 meV per atom.



P) Material: CrCoSeN2
Method: DFT, PBE-GGA
State: optimized geometry

Geometry as CIF:
```
data_CrCoSeN2
_space_group_name_H-M_alt 'P 4/m m m'
_space_group_IT_number 123
_space_group_name_Hall '-P 4 2'
_cell_length_a 3.4726
_cell_length_b 3.4726
_cell_length_c 6.5954
_cell_angle_alpha 90.00
_cell_angle_beta 90.00
_cell_angle_gamma 90.00
loop_
_atom_site_label
_atom_site_fract_x
_atom_site_fract_y
_atom_site_fract_z
Cr1 0.0000 0.0000 0.0000
Co1 0.5000 0.5000 0.5000
Se1 0.5000 0.5000 0.0000
N1 0.0000 0.5000 0.5000
```



Q) Material: CrCoSeN2
Method: DFT, PBE-GGA
State: optimized geometry

Geometry as CIF:
```
data_CrCoSeN2
_space_group_name_H-M_alt 'P 4/m m m'
_space_group_IT_number 123
_space_group_name_Hall '-P 4 2'
_cell_length_a 3.6032
_cell_length_b 3.6032
_cell_length_c 5.3200
_cell_angle_alpha 90.00
_cell_angle_beta 90.00
_cell_angle_gamma 90.00
loop_
_atom_site_label
_atom_site_fract_x
_atom_site_fract_y
_atom_site_fract_z
Cr1 0.0000 0.0000 0.0000
Co1 0.5000 0.5000 0.5000
Se1 0.0000 0.0000 0.5000
N1 0.0000 0.5000 0.0000
```



Which is most stable, and by how much? Q), by 573 meV per atom.



P) Material: CrCoTe2N
Method: DFT, PBE-GGA
State: optimized geometry

Geometry as CIF:
```
data_CrCoTe2N
_space_group_name_H-M_alt 'P 4/m m m'
_space_group_IT_number 123
_space_group_name_Hall '-P 4 2'
_cell_length_a 5.2836
_cell_length_b 5.2836
_cell_length_c 3.4911
_cell_angle_alpha 90.00
_cell_angle_beta 90.00
_cell_angle_gamma 90.00
loop_
_atom_site_label
_atom_site_fract_x
_atom_site_fract_y
_atom_site_fract_z
Cr1 0.0000 0.0000 0.0000
Co1 0.5000 0.5000 0.5000
Te1 0.0000 0.5000 0.0000
N1 0.0000 0.0000 0.5000
```



Q) Material: CrCoTe2N
Method: DFT, PBE-GGA
State: optimized geometry

Geometry as CIF:
```
data_CrCoTe2N
_space_group_name_H-M_alt 'P 4/m m m'
_space_group_IT_number 123
_space_group_name_Hall '-P 4 2'
_cell_length_a 5.2958
_cell_length_b 5.2958
_cell_length_c 3.3916
_cell_angle_alpha 90.00
_cell_angle_beta 90.00
_cell_angle_gamma 90.00
loop_
_atom_site_label
_atom_site_fract_x
_atom_site_fract_y
_atom_site_fract_z
Cr1 0.0000 0.0000 0.0000
Co1 0.5000 0.5000 0.5000
Te1 0.0000 0.5000 0.5000
N1 0.5000 0.5000 0.0000
```



Which is most stable, and by how much? Q), by 142 meV per atom.



P) Material: NaCr2Co
Method: DFT, PBE-GGA
State: optimized geometry

Geometry as CIF:
```
data_NaCr2Co
_space_group_name_H-M_alt 'F m -3 m'
_space_group_IT_number 225
_space_group_name_Hall '-F 4 2 3'
_cell_length_a 6.1430
_cell_length_b 6.1430
_cell_length_c 6.1430
_cell_angle_alpha 90.00
_cell_angle_beta 90.00
_cell_angle_gamma 90.00
loop_
_atom_site_label
_atom_site_fract_x
_atom_site_fract_y
_atom_site_fract_z
Na1 0.0000 0.0000 0.0000
Cr1 0.2500 0.2500 0.2500
Co1 0.0000 0.0000 0.5000
```



Q) Material: NaCr2Co
Method: DFT, PBE-GGA
State: optimized geometry

Geometry as CIF:
```
data_NaCr2Co
_space_group_name_H-M_alt 'I -4 2 d'
_space_group_IT_number 122
_space_group_name_Hall 'I -4 2bw'
_cell_length_a 6.8068
_cell_length_b 6.8068
_cell_length_c 5.0660
_cell_angle_alpha 90.00
_cell_angle_beta 90.00
_cell_angle_gamma 90.00
loop_
_atom_site_label
_atom_site_fract_x
_atom_site_fract_y
_atom_site_fract_z
Na1 0.0000 0.0000 0.0000
Cr1 0.1876 0.2500 0.6250
Co1 0.0000 0.0000 0.5000
```



Which is most stable, and by how much? P), by 149 meV per atom.



P) Material: Na2CrCo
Method: DFT, PBE-GGA
State: optimized geometry

Geometry as CIF:
```
data_Na2CrCo
_space_group_name_H-M_alt 'F m -3 m'
_space_group_IT_number 225
_space_group_name_Hall '-F 4 2 3'
_cell_length_a 6.9246
_cell_length_b 6.9246
_cell_length_c 6.9246
_cell_angle_alpha 90.00
_cell_angle_beta 90.00
_cell_angle_gamma 90.00
loop_
_atom_site_label
_atom_site_fract_x
_atom_site_fract_y
_atom_site_fract_z
Na1 0.2500 0.2500 0.2500
Cr1 0.0000 0.0000 0.0000
Co1 0.0000 0.0000 0.5000
```



Q) Material: Na2CrCo
Method: DFT, PBE-GGA
State: optimized geometry

Geometry as CIF:
```
data_Na2CrCo
_space_group_name_H-M_alt 'I -4 2 d'
_space_group_IT_number 122
_space_group_name_Hall 'I -4 2bw'
_cell_length_a 10.1963
_cell_length_b 10.1963
_cell_length_c 4.4048
_cell_angle_alpha 90.00
_cell_angle_beta 90.00
_cell_angle_gamma 90.00
loop_
_atom_site_label
_atom_site_fract_x
_atom_site_fract_y
_atom_site_fract_z
Na1 0.1141 0.2500 0.1250
Cr1 0.0000 0.0000 0.5000
Co1 0.0000 0.0000 0.0000
```



Which is most stable, and by how much? Q), by 81 meV per atom.